(1)
Here is a geometry-optimized NaCd6Hg8 structure from the Alexandria database. Energies are from PBE.

Unit cell a=8.4525 b=8.4525 c=8.4525 alpha=57.52 beta=57.52 gamma=57.52
With the nearest neighbours (Å) after each atom.
Atoms (fractional coordinates):
1 Cd 0.1191 0.5488 0.2782  3 Hg 2.97-3.10, 5 Cd 3.02-3.21, 1 Na 3.14
2 Cd 0.4512 0.7218 0.8809  3 Hg 2.97-3.10, 5 Cd 3.02-3.21, 1 Na 3.14
3 Cd 0.7218 0.8809 0.4512  3 Hg 2.97-3.10, 5 Cd 3.02-3.21, 1 Na 3.14
4 Cd 0.8809 0.4512 0.7218  3 Hg 2.97-3.10, 5 Cd 3.02-3.21, 1 Na 3.14
5 Cd 0.2782 0.1191 0.5488  3 Hg 2.97-3.10, 5 Cd 3.02-3.21, 1 Na 3.14
6 Cd 0.5488 0.2782 0.1191  3 Hg 2.97-3.10, 5 Cd 3.02-3.21, 1 Na 3.14
7 Hg 0.2435 0.7200 0.6886  2 Cd 2.97-3.04, 3 Hg 3.03-3.05
8 Hg 0.7200 0.6886 0.2435  2 Cd 2.97-3.04, 3 Hg 3.03-3.05
9 Hg 0.7565 0.2800 0.3114  2 Cd 2.97-3.04, 3 Hg 3.03-3.05
10 Hg 0.2800 0.3114 0.7565  2 Cd 2.97-3.04, 3 Hg 3.03-3.05
11 Hg 0.8053 0.8053 0.8053  3 Hg 3.03, 3 Cd 3.10
12 Hg 0.1947 0.1947 0.1947  3 Hg 3.03, 3 Cd 3.10
13 Hg 0.3114 0.7565 0.2800  2 Cd 2.97-3.04, 3 Hg 3.03-3.05
14 Hg 0.6886 0.2435 0.7200  2 Cd 2.97-3.04, 3 Hg 3.03-3.05
15 Na 0.0000 0.0000 0.0000  6 Cd 3.14

Relative energy among the computed polymorphs, meV/atom: 6
VASP energy, eV per atom: -0.6067
ΔH_f (0 K), meV/atom: 8

***

(2)
Here is a geometry-optimized NaCd2Hg structure from the Alexandria database. Energies are from PBE.

Unit cell a=4.7040 b=5.8733 c=8.1769 alpha=90.00 beta=90.00 gamma=112.98
With the nearest neighbours (Å) after each atom.
Atoms (fractional coordinates):
1 Cd 0.3728 0.7440 0.5580  2 Cd 2.93-3.14, 3 Hg 2.99-3.01
2 Cd 0.6272 0.2560 0.4420  2 Cd 2.93-3.14, 3 Hg 2.99-3.01
3 Cd 0.3728 0.7440 0.9420  2 Cd 2.93-3.14, 3 Hg 2.99-3.01
4 Cd 0.6272 0.2560 0.0580  2 Cd 2.93-3.14, 3 Hg 2.99-3.01
5 Na 0.0736 0.1425 0.7500  3 Hg 3.18-3.26, 6 Cd 3.50-3.53
6 Na 0.9264 0.8575 0.2500  3 Hg 3.18-3.26, 6 Cd 3.50-3.53
7 Hg 0.2200 0.4461 0.2500  6 Cd 2.99-3.01, 3 Na 3.18-3.26
8 Hg 0.7800 0.5539 0.7500  6 Cd 2.99-3.01, 3 Na 3.18-3.26

VASP energy, eV per atom: -0.9871
ΔH_f (0 K), meV/atom: -124

***

(3)
Here is a geometry-optimized Na4Cd2Hg structure from the Alexandria database. Energies are from PBE.

Unit cell a=7.8342 b=6.1621 c=9.2095 alpha=90.00 beta=114.44 gamma=90.00
With the nearest neighbours (Å) after each atom.
Atoms (fractional coordinates):
1 Cd 0.1930 0.2500 0.9597  3 Hg 2.97-3.33, 4 Na 3.10-3.21
2 Cd 0.8070 0.7500 0.0403  3 Hg 2.97-3.33, 4 Na 3.10-3.21
3 Cd 0.5271 0.2500 0.5284  2 Cd 3.12, 6 Na 3.14-3.46, 1 Hg 3.17
4 Cd 0.4729 0.7500 0.4716  2 Cd 3.12, 6 Na 3.14-3.46, 1 Hg 3.17
5 Na 0.4119 0.9934 0.7857  2 Na 3.00-3.16, 1 Hg 3.13, 2 Cd 3.21-3.27
6 Na 0.5881 0.4934 0.2143  2 Na 3.00-3.16, 1 Hg 3.13, 2 Cd 3.21-3.27
7 Na 0.8969 0.7500 0.7426  2 Cd 3.10-3.23, 1 Hg 3.20
8 Na 0.9503 0.2500 0.5819  2 Cd 3.14-3.20, 2 Na 3.52
9 Na 0.1031 0.2500 0.2574  2 Cd 3.10-3.23, 1 Hg 3.20
10 Na 0.5881 0.0066 0.2143  2 Na 3.00-3.16, 1 Hg 3.13, 2 Cd 3.21-3.27
11 Na 0.4119 0.5066 0.7857  2 Na 3.00-3.16, 1 Hg 3.13, 2 Cd 3.21-3.27
12 Na 0.0497 0.7500 0.4181  2 Cd 3.14-3.20, 2 Na 3.52
13 Hg 0.7895 0.2500 0.8989  4 Cd 2.97-3.33, 3 Na 3.13-3.20
14 Hg 0.2105 0.7500 0.1011  4 Cd 2.97-3.33, 3 Na 3.13-3.20

Relative energy among the computed polymorphs, meV/atom: 54
VASP energy, eV per atom: -1.1231
ΔH_f (0 K), meV/atom: -65